No. 1
ZrMn3Fe: relaxed, GGA-PBE.

Values from the calculation:
Energy relative to the elements, kJ/mol of atoms: 204
Energy above the most stable polymorph in this dataset, eV/atom: 1.3562
DFT total energy, Ha/atom: -0.2496

Cell: 4.461 4.461 4.461 Å, 90.00 90.00 90.00°
Space group Pm-3m (No. 221)
One atom of each set of equivalent atoms:
Zr 0.000 0.000 0.000
Mn 0.000 0.000 0.500
Fe 0.500 0.500 0.500


No. 2
TcOsBr2: relaxed, GGA-PBE.

Values from the calculation:
Formation energy from raw total energies, kJ per mole of atoms: 130.0
Energy above the most stable polymorph in this dataset, eV/atom: 1.0671
DFT total energy, Ha/atom: -0.1796

Cell: 5.113 5.113 5.342 Å, 90.00 90.00 90.00°
Space group I-4m2 (No. 119)
One atom of each set of equivalent atoms:
Tc 0.000 0.000 0.000
Os 0.000 0.500 0.750
Br 0.000 0.000 0.500
Br 0.000 0.500 0.250


No. 3
BaCo2Ag: relaxed, GGA-PBE.

Values from the calculation:
Energy relative to the elements, kJ/mol of atoms: 62
DFT total energy, Ha/atom: -0.1507

Cell: 3.515 3.515 6.948 Å, 90.00 90.00 90.00°
Space group P4/mmm (No. 123)
One atom of each set of equivalent atoms:
Ba 0.000 0.000 0.000
Co 0.500 0.500 0.342
Ag 0.000 0.000 0.500